Here is a geometry-optimized TbPm2Cd2Ag2 structure from the Alexandria database. Energies are from PBE.

a = 4.9026 Å, b = 4.9026 Å, c = 9.2179 Å
α = 74.58°, β = 74.58°, γ = 60.00°
Atoms (fractional coordinates):
1 Tb 0.0000 0.0000 0.0000
2 Pm 0.1239 0.1239 0.6283
3 Pm 0.8761 0.8761 0.3717
4 Cd 0.7333 0.7333 0.8000
5 Cd 0.2667 0.2667 0.2000
6 Ag 0.6054 0.6054 0.1838
7 Ag 0.3946 0.3946 0.8162

Calculated density: 8.09 Mg/m³
Formation energy from the elements: -186 meV/atom
E: -3.28 eV/atom

---

Here is a geometry-optimized PmThCdAg structure from the Alexandria database. Energies are from PBE.

a = 5.3556 Å, b = 5.3556 Å, c = 5.3556 Å
α = 60.00°, β = 60.00°, γ = 60.00°
Atoms (fractional coordinates):
1 Cd 0.5000 0.5000 0.5000
2 Ag 0.0000 0.0000 0.0000
3 Th 0.2500 0.2500 0.2500
4 Pm 0.7500 0.7500 0.7500

Calculated density: 9.13 Mg/m³
Formation energy from the elements: -130 meV/atom
E: -4.11 eV/atom

---

Here is a geometry-optimized Pm4Tl2CdAg structure from the Alexandria database. Energies are from PBE.

a = 5.4258 Å, b = 5.4258 Å, c = 9.4021 Å
α = 73.23°, β = 73.23°, γ = 60.00°
Atoms (fractional coordinates):
1 Pm 0.3777 0.3777 0.8669
2 Pm 0.8725 0.8725 0.3826
3 Pm 0.1275 0.1275 0.6174
4 Pm 0.6223 0.6223 0.1331
5 Tl 0.7478 0.7478 0.7566
6 Tl 0.2522 0.2522 0.2434
7 Cd 0.0000 0.0000 0.0000
8 Ag 0.5000 0.5000 0.5000

Calculated density: 8.88 Mg/m³
Formation energy from the elements: -344 meV/atom
E: -3.78 eV/atom

---

Here is a geometry-optimized Pm4TlCdAg2 structure from the Alexandria database. Energies are from PBE.

a = 5.3628 Å, b = 5.3628 Å, c = 9.3294 Å
α = 73.30°, β = 73.30°, γ = 60.00°
Atoms (fractional coordinates):
1 Pm 0.3758 0.3758 0.8725
2 Pm 0.8745 0.8745 0.3766
3 Pm 0.1255 0.1255 0.6234
4 Pm 0.6242 0.6242 0.1275
5 Tl 0.0000 0.0000 0.0000
6 Cd 0.5000 0.5000 0.5000
7 Ag 0.7524 0.7524 0.7428
8 Ag 0.2476 0.2476 0.2572

Calculated density: 8.43 Mg/m³
Formation energy from the elements: -299 meV/atom
E: -3.80 eV/atom